1.
Below is a geometry-optimized NiAgSe2 structure, with properties calculated at the GGA-PBE level.

Values from the calculation:
formation energy without anion corrections = -0.20 eV/f.u.
offset from the most stable computed form = 97 meV per atom
SG = Pna2_1, No. 33
DFT total energy = -3.950 eV per atom

Lattice parameters (Å, degrees): 6.943 8.302 6.127 90.00 90.00 90.00
Sites, in units of the cell vectors:
Ni (0.421, 0.364, 0.437)
Ni (0.079, 0.864, 0.937)
Ni (0.921, 0.136, 0.437)
Ni (0.579, 0.636, 0.937)
Se (0.384, 0.833, 0.091)
Se (0.116, 0.333, 0.591)
Se (0.616, 0.167, 0.591)
Se (0.057, 0.900, 0.565)
Se (0.884, 0.667, 0.091)
Se (0.443, 0.400, 0.065)
Se (0.943, 0.100, 0.065)
Se (0.557, 0.600, 0.565)
Ag (0.573, 0.105, 0.157)
Ag (0.427, 0.895, 0.657)
Ag (0.927, 0.605, 0.657)
Ag (0.073, 0.395, 0.157)

=====

2.
Below is a geometry-optimized RuAuSe2 structure, with properties calculated at the GGA-PBE level.

Values from the calculation:
formation energy without anion corrections = 2.95 eV/f.u.
SG = F-43m, No. 216
DFT total energy = -4.142 eV per atom

Lattice parameters (Å, degrees): 4.676 4.676 4.676 60.00 60.00 60.00
Site moments in Bohr magnetons follow the coordinates.
Sites, in units of the cell vectors:
Se (0.000, 0.000, 0.000)  -0.04
Se (0.250, 0.250, 0.250)  -0.01
Ru (0.750, 0.750, 0.750)  1.11
Au (0.500, 0.500, 0.500)  0.04

=====

3.
Below is a geometry-optimized BTe2F structure, with properties calculated at the GGA-PBE level.

Values from the calculation:
formation energy without anion corrections = -0.04 eV/f.u.
offset from the most stable computed form = 0 meV per atom
SG = I-42d, No. 122
DFT total energy = -3.718 eV per atom

Lattice parameters (Å, degrees): 6.290 6.290 6.234 59.70 59.70 90.00
Sites, in units of the cell vectors:
F (0.750, 0.250, 0.500)
F (0.000, 0.000, 0.000)
Te (0.375, 0.426, 0.750)
Te (0.574, 0.125, 0.250)
Te (0.875, 0.824, 0.750)
Te (0.176, 0.625, 0.250)
B (0.250, 0.750, 0.500)
B (0.500, 0.500, 0.000)

=====

4.
Below is a geometry-optimized IrPd2RhBr structure, with properties calculated at the GGA-PBE level.

Values from the calculation:
formation energy without anion corrections = 6.65 eV/f.u.
SG = P4/mmm, No. 123
DFT total energy = -4.323 eV per atom

Lattice parameters (Å, degrees): 4.945 4.625 4.945 90.00 90.00 90.00
Sites, in units of the cell vectors:
Rh (0.000, 0.000, 0.000)
Br (0.500, 0.500, 0.500)
Pd (0.500, 0.000, 0.000)
Pd (0.000, 0.000, 0.500)
Ir (0.000, 0.500, 0.000)

=====

5.
Below is a geometry-optimized CaMnTlBr6 structure, with properties calculated at the GGA-PBE level.

Values from the calculation:
formation energy without anion corrections = -10.27 eV/f.u.
SG = P-31c, No. 163
DFT total energy = -3.760 eV per atom

Lattice parameters (Å, degrees): 7.185 7.185 13.991 90.00 90.00 120.00
Site moments in Bohr magnetons follow the coordinates.
Sites, in units of the cell vectors:
Br (0.965, 0.615, 0.359)  -0.01
Br (0.615, 0.650, 0.641)  -0.01
Br (0.650, 0.615, 0.141)  -0.01
Br (0.350, 0.965, 0.641)  -0.01
Br (0.350, 0.385, 0.859)  -0.01
Br (0.035, 0.650, 0.859)  -0.01
Br (0.385, 0.350, 0.359)  -0.01
Br (0.035, 0.385, 0.641)  -0.01
Br (0.965, 0.350, 0.141)  -0.01
Br (0.615, 0.965, 0.859)  -0.01
Br (0.650, 0.035, 0.359)  -0.01
Br (0.385, 0.035, 0.141)  -0.01
Mn (0.667, 0.333, 0.250)  3.81
Mn (0.333, 0.667, 0.750)  3.81
Ca (0.333, 0.667, 0.250)  0.01
Ca (0.667, 0.333, 0.750)  0.01
Tl (0.000, 0.000, 0.500)  -0.01
Tl (0.000, 0.000, 0.000)  -0.01

=====

6.
Below is a geometry-optimized InSiSb structure, with properties calculated at the GGA-PBE level.

Values from the calculation:
formation energy without anion corrections = 1.00 eV/f.u.
offset from the most stable computed form = 9 meV per atom
SG = Fmm2, No. 42
DFT total energy = -3.763 eV per atom

Lattice parameters (Å, degrees): 6.674 6.559 3.457 76.72 73.01 30.27
Sites, in units of the cell vectors:
Si (0.676, 0.676, 0.324)
In (0.018, 0.018, 0.982)
Sb (0.306, 0.306, 0.694)

=====

7.
Below is a geometry-optimized Er4In2Pb structure, with properties calculated at the GGA-PBE level.

Values from the calculation:
offset from the most stable computed form = 0 meV per atom
SG = P2_1/m, No. 11
DFT total energy = -4.236 eV per atom

Lattice parameters (Å, degrees): 5.657 6.570 11.103 90.00 108.66 90.00
Sites, in units of the cell vectors:
In (0.780, 0.750, 0.565)
In (0.554, 0.750, 0.993)
In (0.446, 0.250, 0.007)
In (0.220, 0.250, 0.435)
Er (0.988, 0.750, 0.866)
Er (0.399, 0.004, 0.732)
Er (0.798, 0.250, 0.554)
Er (0.012, 0.250, 0.134)
Er (0.601, 0.504, 0.268)
Er (0.399, 0.496, 0.732)
Er (0.601, 0.996, 0.268)
Er (0.202, 0.750, 0.446)
Pb (0.929, 0.250, 0.837)
Pb (0.071, 0.750, 0.163)

=====

8.
Below is a geometry-optimized Er5In2Hg2 structure, with properties calculated at the GGA-PBE level.

Values from the calculation:
SG = Cmce, No. 64
DFT total energy = -3.571 eV per atom

Lattice parameters (Å, degrees): 7.182 8.542 9.148 117.83 90.00 90.00
Sites, in units of the cell vectors:
Hg (0.120, 0.644, 0.000)
Hg (0.620, 0.856, 0.000)
Hg (0.880, 0.356, 0.000)
Hg (0.380, 0.144, 0.000)
Er (0.160, 0.453, 0.279)
Er (0.500, 0.500, 0.000)
Er (0.660, 0.327, 0.279)
Er (0.340, 0.673, 0.721)
Er (0.840, 0.827, 0.279)
Er (0.840, 0.547, 0.721)
Er (0.160, 0.173, 0.721)
Er (0.660, 0.047, 0.721)
Er (0.000, 0.000, 0.000)
Er (0.340, 0.953, 0.279)
In (0.500, 0.289, 0.578)
In (0.000, 0.211, 0.422)
In (0.000, 0.789, 0.578)
In (0.500, 0.711, 0.422)

=====

9.
Below is a geometry-optimized Na2In5Ga3 structure, with properties calculated at the GGA-PBE level.

Values from the calculation:
offset from the most stable computed form = 4 meV per atom
SG = P-4m2, No. 115
DFT total energy = -2.603 eV per atom

Lattice parameters (Å, degrees): 4.609 4.609 12.356 90.00 90.00 90.00
Sites, in units of the cell vectors:
In (0.000, 0.500, 0.160)
In (0.000, 0.000, 0.000)
In (0.500, 0.500, 0.000)
In (0.500, 0.000, 0.840)
In (0.500, 0.500, 0.500)
Ga (0.500, 0.000, 0.624)
Ga (0.000, 0.000, 0.500)
Ga (0.000, 0.500, 0.376)
Na (0.000, 0.500, 0.722)
Na (0.500, 0.000, 0.278)

=====

10.
Below is a geometry-optimized CaFeI4 structure, with properties calculated at the GGA-PBE level.

Values from the calculation:
formation energy without anion corrections = -4.56 eV/f.u.
SG = I-4, No. 82
DFT total energy = -3.537 eV per atom

Lattice parameters (Å, degrees): 6.994 6.994 7.742 116.85 116.85 90.00
Site moments in Bohr magnetons follow the coordinates.
Sites, in units of the cell vectors:
I (0.134, 0.661, 0.741)  0.07
I (0.920, 0.866, 0.259)  0.07
I (0.339, 0.393, 0.259)  0.07
I (0.607, 0.080, 0.741)  0.07
Fe (0.250, 0.750, 0.500)  3.29
Ca (0.500, 0.500, 0.000)  0.01

=====

11.
Below is a geometry-optimized HgAu2Br structure, with properties calculated at the GGA-PBE level.

Values from the calculation:
formation energy without anion corrections = 0.07 eV/f.u.
offset from the most stable computed form = 0 meV per atom
SG = Cm, No. 8
DFT total energy = -2.115 eV per atom

Lattice parameters (Å, degrees): 4.925 4.925 5.458 89.94 89.94 60.03
Sites, in units of the cell vectors:
Au (0.625, 0.625, 0.000)
Au (0.958, 0.958, 0.000)
Br (0.625, 0.625, 0.500)
Hg (0.292, 0.292, 0.000)

=====

12.
Below is a geometry-optimized Cs4Np3BeSe8 structure, with properties calculated at the GGA-PBE level.

Values from the calculation:
formation energy without anion corrections = -16.33 eV/f.u.
SG = C2/m, No. 12
DFT total energy = -5.636 eV per atom

Lattice parameters (Å, degrees): 8.390 9.661 8.603 116.33 119.18 90.00
Site moments in Bohr magnetons follow the coordinates.
Sites, in units of the cell vectors:
Se (0.197, 0.662, 0.955)  0.00
Se (0.243, 0.694, 0.486)  0.08
Se (0.242, 0.338, 0.045)  0.00
Se (0.803, 0.338, 0.045)  0.00
Se (0.757, 0.306, 0.514)  0.08
Se (0.272, 0.312, 0.543)  0.03
Se (0.728, 0.688, 0.457)  0.03
Se (0.758, 0.662, 0.955)  0.00
Cs (0.500, 0.000, 0.500)  0.01
Cs (0.500, 0.000, 0.000)  0.00
Cs (0.000, 0.000, 0.000)  -0.01
Cs (0.000, 0.000, 0.500)  0.01
Np (0.500, 0.500, 0.000)  3.78
Np (0.500, 0.500, 0.500)  -3.69
Np (0.000, 0.500, 0.500)  -3.69
Be (0.000, 0.500, 0.000)  0.00

=====

> What is the DFT total energy in the first record?

-3.950 eV per atom

=====

What did the fifth record say?
Below is a geometry-optimized CaMnTlBr6 structure, with properties calculated at the GGA-PBE level.

Values from the calculation:
formation energy without anion corrections = -10.27 eV/f.u.
SG = P-31c, No. 163
DFT total energy = -3.760 eV per atom

Lattice parameters (Å, degrees): 7.185 7.185 13.991 90.00 90.00 120.00
Site moments in Bohr magnetons follow the coordinates.
Sites, in units of the cell vectors:
Br (0.965, 0.615, 0.359)  -0.01
Br (0.615, 0.650, 0.641)  -0.01
Br (0.650, 0.615, 0.141)  -0.01
Br (0.350, 0.965, 0.641)  -0.01
Br (0.350, 0.385, 0.859)  -0.01
Br (0.035, 0.650, 0.859)  -0.01
Br (0.385, 0.350, 0.359)  -0.01
Br (0.035, 0.385, 0.641)  -0.01
Br (0.965, 0.350, 0.141)  -0.01
Br (0.615, 0.965, 0.859)  -0.01
Br (0.650, 0.035, 0.359)  -0.01
Br (0.385, 0.035, 0.141)  -0.01
Mn (0.667, 0.333, 0.250)  3.81
Mn (0.333, 0.667, 0.750)  3.81
Ca (0.333, 0.667, 0.250)  0.01
Ca (0.667, 0.333, 0.750)  0.01
Tl (0.000, 0.000, 0.500)  -0.01
Tl (0.000, 0.000, 0.000)  -0.01